Record 1
First-principles (GGA-PBEsol) data for a relaxed RbTl2PSe crystal, as listed in Alexandria via LeMat-Bulk. Values from VASP.

Results
The calculated total energy is -3.1233 eV per atom. The space group is P4/mmm, No. 123. The magnetic moment is 0.00 Bohr magnetons per cell. Its crystal system is tetragonal.

Quantum ESPRESSO input file:
```
&SYSTEM
  ibrav = 0, nat = 5, ntyp = 4
/
ATOMIC_SPECIES
Rb 85.47 Rb.upf
P 30.97 P.upf
Tl 204.38 Tl.upf
Se 78.96 Se.upf
CELL_PARAMETERS angstrom
5.204 0.000 0.000
0.000 5.204 0.000
0.000 0.000 6.119
ATOMIC_POSITIONS crystal
Rb 0.000 0.000 0.500
P 0.000 0.000 0.000
Tl 0.000 0.500 0.000
Tl 0.500 0.000 0.000
Se 0.500 0.500 0.500
```

=====

Record 2
First-principles (GGA-PBEsol) data for a relaxed SiHg2Pb crystal, as listed in Alexandria via LeMat-Bulk. Values from VASP.

Results
The space group is I-4m2, No. 119. The value obtained for the offset from the most stable computed form is 80.3 meV per atom. The magnetic moment is 0.00 Bohr magnetons per cell. Its crystal system is tetragonal.

Quantum ESPRESSO input file:
```
&SYSTEM
  ibrav = 0, nat = 4, ntyp = 3
/
ATOMIC_SPECIES
Si 28.09 Si.upf
Pb 207.20 Pb.upf
Hg 200.59 Hg.upf
CELL_PARAMETERS angstrom
-2.529 -1.993 3.339
2.600 -3.828 -0.316
2.608 4.464 1.418
ATOMIC_POSITIONS crystal
Si 0.250 0.750 0.500
Pb 0.500 0.500 0.000
Hg 0.750 0.250 0.500
Hg 0.000 0.000 0.000
```

=====

Record 3
First-principles (GGA-PBEsol) data for a relaxed Sm2Te5 crystal, as listed in Alexandria via LeMat-Bulk. Values from VASP.

Results
The calculated total energy is -5.0848 eV per atom. The space group is Cmcm, No. 63. The magnetic moment is 0.00 Bohr magnetons per cell. Its crystal system is orthorhombic.

Quantum ESPRESSO input file:
```
&SYSTEM
  ibrav = 0, nat = 14, ntyp = 2
/
ATOMIC_SPECIES
Te 127.60 Te.upf
Sm 150.36 Sm.upf
CELL_PARAMETERS angstrom
4.348 0.000 0.000
0.000 4.351 0.000
-2.174 0.000 21.821
ATOMIC_POSITIONS crystal
Te 0.750 0.750 0.500
Te 0.958 0.750 0.915
Te 0.543 0.750 0.085
Te 0.379 0.750 0.759
Te 0.457 0.250 0.915
Te 0.827 0.250 0.654
Te 0.042 0.250 0.085
Te 0.621 0.250 0.241
Te 0.173 0.750 0.346
Te 0.250 0.250 0.500
Sm 0.901 0.250 0.802
Sm 0.307 0.750 0.613
Sm 0.099 0.750 0.198
Sm 0.693 0.250 0.387
```